{"formula": "Mg2AlPt", "functional": "PBE-GGA", "state": "relaxed", "lattice_angstrom": [[5.359, 0.015, -0.020], [4.511, 2.892, -0.020], [1.541, 0.454, 4.598]], "species": ["Mg", "Mg", "Pt", "Al"], "fractional_positions": [[0.222, 0.222, 0.306], [0.016, 0.016, 0.962], [0.480, 0.480, 0.473], [0.783, 0.783, 0.759]], "delta_e_f_ev_per_atom": -0.5007}

{"formula": "LuVOs2", "functional": "PBE-GGA", "state": "relaxed", "lattice_angstrom": [[-1.069, 0.525, 2.882], [1.864, -2.245, 1.100], [4.804, 4.465, 0.969]], "species": ["Lu", "Os", "Os", "V"], "fractional_positions": [[0.500, 0.500, 0.500], [0.000, 0.000, 0.783], [0.000, 0.000, 0.217], [0.500, 0.500, 0.000]], "delta_e_f_ev_per_atom": -0.2555}

{"formula": "KLaIO2", "functional": "PBE-GGA", "state": "relaxed", "lattice_angstrom": [[4.723, 0.000, 0.000], [0.000, 4.723, 0.000], [0.000, 0.000, 5.649]], "species": ["La", "O", "O", "I", "K"], "fractional_positions": [[0.500, 0.500, 0.500], [0.500, 0.000, 0.000], [0.000, 0.500, 0.000], [0.000, 0.000, 0.500], [0.000, 0.000, 0.000]], "e_form_raw_ev_per_atom": -0.413}

{"formula": "CeLuCuPd", "functional": "PBE-GGA", "state": "relaxed", "lattice_angstrom": [[-1.975, 3.329, -3.088], [-1.720, -1.435, -4.416], [-4.874, -0.018, -0.871]], "species": ["Pd", "Cu", "Ce", "Lu"], "fractional_positions": [[0.000, 0.000, 0.000], [0.500, 0.500, 0.500], [0.250, 0.250, 0.250], [0.750, 0.750, 0.750]], "delta_e_f_ev_per_atom": -0.4625}

{"formula": "SmGa12Ir6", "functional": "PBE-GGA", "state": "relaxed", "lattice_angstrom": [[7.220, -0.055, -0.078], [-1.844, 6.981, -0.078], [-1.844, -2.375, 6.565]], "species": ["Sm", "Ga", "Ga", "Ga", "Ga", "Ga", "Ga", "Ga", "Ga", "Ga", "Ga", "Ga", "Ga", "Ir", "Ir", "Ir", "Ir", "Ir", "Ir"], "fractional_positions": [[0.000, 0.000, 0.000], [0.128, 0.404, 0.404], [0.596, 0.596, 0.872], [0.500, 0.115, 0.885], [0.885, 0.115, 0.500], [0.872, 0.596, 0.596], [0.404, 0.404, 0.128], [0.596, 0.872, 0.596], [0.885, 0.500, 0.115], [0.500, 0.885, 0.115], [0.115, 0.885, 0.500], [0.404, 0.128, 0.404], [0.115, 0.500, 0.885], [0.307, 0.725, 0.725], [0.725, 0.725, 0.307], [0.275, 0.693, 0.275], [0.693, 0.275, 0.275], [0.275, 0.275, 0.693], [0.725, 0.307, 0.725]], "delta_e_f_ev_per_atom": -0.4239}

{"formula": "Ca2BiO2", "functional": "PBE-GGA", "state": "relaxed", "lattice_angstrom": [[-0.907, 4.041, -0.914], [-3.055, -0.020, 2.943], [1.891, 3.791, 5.045]], "species": ["O", "O", "Bi", "Ca", "Ca"], "fractional_positions": [[0.250, 0.750, 0.500], [0.750, 0.250, 0.500], [0.000, 0.000, 0.000], [0.683, 0.683, 0.634], [0.317, 0.317, 0.366]], "e_form_raw_ev_per_atom": -1.771}